Record 1
Material: Co2PbCl
Method: DFT, GGA-PBE
State: optimized geometry

abc: 8.070 8.070 8.070
angles: 156.03 157.23 33.29
Last column: magnetic moment on the atom in μB.
Fractional positions:
1 Co 0.082 0.082 0.000  1.66
2 Pb 0.477 0.477 0.000  -0.01
3 Co 0.178 0.678 0.500  2.07
4 Cl 0.762 0.262 0.500  0.08

Summary:
Its symmetry is No. 44. The calculation puts the size of the total moment at 3.82 μB/f.u. As for the formation energy without anion corrections: 0.3548 eV/atom.

=====

Record 2
Material: CoPb2Cl6
Method: DFT, GGA-PBE
State: optimized geometry

abc: 6.463 6.463 12.478
angles: 90.00 90.00 90.00
Last column: magnetic moment on the atom in μB.
Fractional positions:
1 Cl 0.818 0.182 0.854  0.05
2 Co 0.500 0.500 0.500  2.50
3 Pb 0.000 0.000 0.666  0.01
4 Cl 0.682 0.682 0.354  0.05
5 Pb 0.000 0.000 0.334  0.01
6 Co 0.000 0.000 0.000  2.50
7 Pb 0.500 0.500 0.834  0.01
8 Cl 0.818 0.182 0.146  0.05
9 Cl 0.682 0.682 0.646  0.05
10 Cl 0.731 0.731 0.000  0.06
11 Cl 0.318 0.318 0.646  0.05
12 Pb 0.500 0.500 0.166  0.01
13 Cl 0.231 0.769 0.500  0.06
14 Cl 0.318 0.318 0.354  0.05
15 Cl 0.269 0.269 0.000  0.06
16 Cl 0.769 0.231 0.500  0.06
17 Cl 0.182 0.818 0.854  0.05
18 Cl 0.182 0.818 0.146  0.05

Summary:
Its symmetry is No. 136. The calculation puts the size of the total moment at 3.00 μB/f.u. As for the formation energy without anion corrections: -0.9004 eV/atom.

=====

Record 3
Material: Co2PbCl
Method: DFT, GGA-PBE
State: optimized geometry

abc: 8.230 8.230 8.230
angles: 23.78 23.78 23.78
Last column: magnetic moment on the atom in μB.
Fractional positions:
1 Cl 0.718 0.718 0.718  0.06
2 Co 0.275 0.275 0.275  1.59
3 Pb 0.519 0.519 0.519  -0.01
4 Co 0.989 0.989 0.989  1.81

Summary:
Its symmetry is No. 160. The calculation puts the size of the total moment at 3.41 μB/f.u. As for the formation energy without anion corrections: 0.2093 eV/atom.

=====

> size of the total moment of number 1 (Co2PbCl)?

3.82 μB/f.u.

=====

> Number 3 is which compound?

Co2PbCl